Computed, not measured: a relaxed structure of ScAgPd2 at the PBE level of DFT. Values from VASP.

Calculated values
For the formation energy, the calculation gives -0.011 eV/atom. For the polymorph energy (0 for the lowest one), the calculation gives 0.655 eV/atom.

Structure (Quantum ESPRESSO input):
```
&SYSTEM
  ibrav = 0, nat = 4, ntyp = 3
/
ATOMIC_SPECIES
Sc 44.96 Sc.upf
Ag 107.87 Ag.upf
Pd 106.42 Pd.upf
CELL_PARAMETERS angstrom
4.8864 -1.6442 -2.9491
-1.3428 4.9777 2.9491
-3.3661 0.0281 4.8935
ATOMIC_POSITIONS angstrom
Sc 0.0000 0.0000 0.0000
Ag -2.3545 2.5029 3.9213
Pd -1.1277 1.1988 1.8782
Pd -3.5812 3.8070 5.9644
```

---

Computed, not measured: a relaxed structure of Pr2Nd2Ho at the PBE level of DFT. Values from VASP.

Calculated values
For the formation energy, the calculation gives 0.273 eV/atom. For the polymorph energy (0 for the lowest one), the calculation gives 0.132 eV/atom.

Structure (Quantum ESPRESSO input):
```
&SYSTEM
  ibrav = 0, nat = 10, ntyp = 3
/
ATOMIC_SPECIES
Pr 140.91 Pr.upf
Nd 144.24 Nd.upf
Ho 164.93 Ho.upf
CELL_PARAMETERS angstrom
-0.5557 5.5355 3.1473
-2.7995 -3.3738 5.4395
8.9041 0.6204 0.4810
ATOMIC_POSITIONS angstrom
Pr 5.6660 3.2871 4.9549
Pr 3.1416 1.7600 7.1950
Pr -0.1171 -0.5051 4.1129
Pr 2.4073 1.0220 1.8729
Nd 1.4495 2.9864 4.7394
Nd 5.5629 1.5594 1.4849
Nd 4.0994 -0.2043 4.3285
Nd -0.0140 1.2227 7.5830
Ho 0.0000 0.0000 0.0000
Ho -0.2779 2.7677 1.5737
```

---

Computed, not measured: a relaxed structure of TmAg5 at the PBE level of DFT. Values from VASP.

Calculated values
For the formation energy, the calculation gives -0.123 eV/atom.

Structure (Quantum ESPRESSO input):
```
&SYSTEM
  ibrav = 0, nat = 12, ntyp = 2
/
ATOMIC_SPECIES
Tm 168.93 Tm.upf
Ag 107.87 Ag.upf
CELL_PARAMETERS angstrom
-4.9662 1.5807 -0.5100
3.1237 -2.9555 -4.1554
-2.8466 -7.8356 3.4332
ATOMIC_POSITIONS angstrom
Tm -1.3128 -3.7285 -3.6790
Tm -3.3762 -5.4819 2.4468
Ag -2.8734 -2.2510 -1.6007
Ag -1.8157 -6.9594 0.3685
Ag -4.7916 -7.5285 0.7102
Ag -0.8852 -4.4008 -0.7511
Ag 0.1025 -1.6820 -1.9424
Ag -3.8039 -4.8096 -0.4811
Ag -6.3320 -5.9918 2.7616
Ag 0.6981 -5.8193 -2.8543
Ag 1.6429 -3.2186 -3.9938
Ag -5.3872 -3.3911 1.6221
```

---

Computed, not measured: a relaxed structure of PuNpZn at the PBE level of DFT. Values from VASP.

Calculated values
For the formation energy, the calculation gives 0.200 eV/atom. For the polymorph energy (0 for the lowest one), the calculation gives 0.076 eV/atom.

Structure (Quantum ESPRESSO input):
```
&SYSTEM
  ibrav = 0, nat = 3, ntyp = 3
/
ATOMIC_SPECIES
Np 237.00 Np.upf
Zn 65.41 Zn.upf
Pu 244.00 Pu.upf
CELL_PARAMETERS angstrom
3.3280 0.0000 0.0000
0.0000 3.3280 0.0000
-1.6640 -1.6640 4.9645
ATOMIC_POSITIONS angstrom
Np 0.0000 0.0000 2.9709
Zn 0.0000 0.0000 0.0015
Pu 1.6640 1.6640 1.9920
```

---

Computed, not measured: a relaxed structure of Nd2Y3Tl4 at the PBE level of DFT. Values from VASP.

Calculated values
For the formation energy, the calculation gives -0.320 eV/atom. For the polymorph energy (0 for the lowest one), the calculation gives 0.000 eV/atom.

Structure (Quantum ESPRESSO input):
```
&SYSTEM
  ibrav = 0, nat = 9, ntyp = 3
/
ATOMIC_SPECIES
Nd 144.24 Nd.upf
Y 88.91 Y.upf
Tl 204.38 Tl.upf
CELL_PARAMETERS angstrom
5.3329 0.0006 0.0009
2.6660 4.6119 0.1680
-0.0020 -0.4068 10.7565
ATOMIC_POSITIONS angstrom
Nd 2.6648 1.2250 8.4354
Nd 5.3321 2.9807 2.4900
Y 2.6654 1.3626 4.6294
Y 0.0000 0.0000 0.0000
Y 5.3315 2.8431 6.2960
Tl 5.3309 2.7149 9.7555
Tl 2.6653 4.4667 3.9331
Tl 5.3316 -0.2610 6.9924
Tl 2.6661 1.4908 1.1700
```

---

Computed, not measured: a relaxed structure of K3Tb3US8 at the PBE level of DFT. Values from VASP.

Calculated values
The uncorrected formation energy is -1.79 eV per atom.

Structure (Quantum ESPRESSO input):
```
&SYSTEM
  ibrav = 0, nat = 15, ntyp = 4
/
ATOMIC_SPECIES
K 39.10 K.upf
Tb 158.93 Tb.upf
U 238.03 U.upf
S 32.06 S.upf
CELL_PARAMETERS angstrom
-0.9663 7.4388 3.0274
0.1039 -6.3984 4.9465
7.6698 2.4588 -3.5932
ATOMIC_POSITIONS angstrom
K 0.0000 0.0000 0.0000
K 0.0519 -3.1992 2.4732
K -0.4312 0.5202 3.9869
Tb 3.3518 4.9488 -0.2829
Tb 3.4037 1.7496 2.1903
Tb 3.8868 -1.9698 0.6766
U 3.8349 1.2294 -1.7966
S 2.0905 -0.6917 2.3662
S 4.7169 4.1909 2.0144
S 1.6481 3.0134 3.9281
S 5.1593 0.4858 0.4526
S 1.5951 6.2776 1.4044
S 5.2123 -2.7784 2.9762
S 2.0881 2.4827 -0.1400
S 4.7193 1.0165 4.5207
```

---

Computed, not measured: a relaxed structure of KFeSbN2 at the PBE level of DFT. Values from VASP.

Calculated values
The uncorrected formation energy is 1.24 eV per atom.

Structure (Quantum ESPRESSO input):
```
&SYSTEM
  ibrav = 0, nat = 5, ntyp = 4
/
ATOMIC_SPECIES
Sb 121.76 Sb.upf
K 39.10 K.upf
Fe 55.84 Fe.upf
N 14.01 N.upf
CELL_PARAMETERS angstrom
-3.9078 -0.6047 0.4502
0.9387 -4.7685 1.7430
0.2116 1.4011 3.7191
ATOMIC_POSITIONS angstrom
Sb 0.4694 -2.3842 0.8715
K -1.3787 -1.9861 2.9561
Fe 0.0000 0.0000 0.0000
N 0.1058 0.7005 1.8595
N -1.9539 -0.3024 0.2251
```

---

Computed, not measured: a relaxed structure of Tl2CdHg3 at the PBE level of DFT. Values from VASP.

Calculated values
For the formation energy, the calculation gives 0.026 eV/atom. For the polymorph energy (0 for the lowest one), the calculation gives 0.030 eV/atom.

Structure (Quantum ESPRESSO input):
```
&SYSTEM
  ibrav = 0, nat = 12, ntyp = 3
/
ATOMIC_SPECIES
Tl 204.38 Tl.upf
Cd 112.41 Cd.upf
Hg 200.59 Hg.upf
CELL_PARAMETERS angstrom
-5.6601 -0.5496 2.6908
-0.2057 -7.2720 -1.9180
3.1111 -3.6454 5.7996
ATOMIC_POSITIONS angstrom
Tl -2.0808 -7.5714 2.5198
Tl 0.1365 -4.9943 0.3557
Tl -0.8990 -6.2792 5.2696
Tl 1.3183 -3.7021 3.1056
Cd -2.1273 -9.7735 5.5070
Cd -1.3556 -1.7641 1.4116
Hg 0.9047 -7.8265 1.4608
Hg -2.8373 -4.6745 1.5878
Hg 2.0228 -6.6040 4.0622
Hg -1.7192 -3.4521 4.1893
Hg 0.6578 -9.8559 4.3488
Hg -4.4137 -1.7082 2.6996
```

---

| no. | final energy (eV per atom) | N(E_F) (states/eV/cell) |
| --- | --- | --- |
| 1 | -4.9032 | 3.568 |
| 2 | -4.4618 | 15.158 |
| 3 | -3.2445 | 4.614 |
| 4 | -9.3155 | 6.554 |
| 5 | -4.5858 | 8.136 |
| 6 | -5.8852 | 6.166 |
| 7 | -4.8299 | 6.549 |
| 8 | -1.0658 | 4.967 |